*a*
This record from the Alexandria database describes ZrAl2Pd2 after structural relaxation. The functional is GGA-PBE.

a b c (Å): 3.8312 3.8312 6.5464
angles (deg): 72.99 72.99 90.00
Last column: nearest neighbours and their distance in Å.
Atoms (fractional coordinates):
Pd 0.3898 0.3898 0.2205  4 Al 2.54, 1 Pd 2.63
Al 0.2500 0.7500 0.5000  4 Pd 2.54, 4 Al 2.71
Zr 0.0000 0.0000 0.0000  8 Pd 3.01
Pd 0.6102 0.6102 0.7795  4 Al 2.54, 1 Pd 2.63
Al 0.7500 0.2500 0.5000  4 Pd 2.54, 4 Al 2.71

Summary:
SG: I4/mmm
Total magnetization: 0.0 Bohr magnetons per cell

*b*
This record from the Alexandria database describes ZrAl2Pd2 after structural relaxation. The functional is GGA-PBE.

a b c (Å): 7.6043 7.6043 2.8443
angles (deg): 90.00 90.00 90.00
Last column: nearest neighbours and their distance in Å.
Atoms (fractional coordinates):
Zr 0.5000 0.5000 0.0000  2 Zr 2.84, 4 Pd 2.97
Al 0.1608 0.6608 0.5000  6 Pd 2.63-2.66, 2 Al 2.84
Al 0.6608 0.8392 0.5000  6 Pd 2.63-2.66, 2 Al 2.84
Al 0.8392 0.3392 0.5000  6 Pd 2.63-2.66, 2 Al 2.84
Al 0.3392 0.1608 0.5000  6 Pd 2.63-2.66, 2 Al 2.84
Pd 0.1336 0.3664 0.0000  6 Al 2.63-2.66, 3 Pd 2.84-2.87
Zr 0.0000 0.0000 0.0000  2 Zr 2.84, 4 Pd 2.97
Pd 0.3664 0.8664 0.0000  6 Al 2.63-2.66, 3 Pd 2.84-2.87
Pd 0.6336 0.1336 0.0000  6 Al 2.63-2.66, 3 Pd 2.84-2.87
Pd 0.8664 0.6336 0.0000  6 Al 2.63-2.66, 3 Pd 2.84-2.87

Summary:
SG: P4/mbm
Total magnetization: 0.0 Bohr magnetons per cell

*c*
This record from the Alexandria database describes ZrAl2Pd2 after structural relaxation. The functional is GGA-PBE.

a b c (Å): 7.6161 7.6161 2.8130
angles (deg): 90.00 90.00 90.00
Last column: nearest neighbours and their distance in Å.
Atoms (fractional coordinates):
Pd 0.8352 0.3352 0.5000  6 Al 2.62-2.66, 2 Pd 2.81
Pd 0.3352 0.1648 0.5000  6 Al 2.62-2.66, 2 Pd 2.81
Zr 0.0000 0.0000 0.0000  2 Zr 2.81, 4 Al 2.99
Al 0.8698 0.6302 0.0000  6 Pd 2.62-2.66, 3 Al 2.80-2.81
Al 0.1302 0.3698 0.0000  6 Pd 2.62-2.66, 3 Al 2.80-2.81
Pd 0.1648 0.6647 0.5000  6 Al 2.62-2.66, 2 Pd 2.81
Al 0.6302 0.1302 0.0000  6 Pd 2.62-2.66, 3 Al 2.80-2.81
Zr 0.5000 0.5000 0.0000  2 Zr 2.81, 4 Al 2.99
Al 0.3698 0.8698 0.0000  6 Pd 2.62-2.66, 3 Al 2.80-2.81
Pd 0.6647 0.8352 0.5000  6 Al 2.62-2.66, 2 Pd 2.81

Summary:
SG: P4/mbm
Total magnetization: 0.0 Bohr magnetons per cell

*b* takes first place; second place is 16 meV/atom up.

*a*
This record from the Alexandria database describes Zr2AlPd3 after structural relaxation. The functional is GGA-PBE.

a b c (Å): 5.1677 5.1677 5.1677
angles (deg): 63.16 63.16 63.16
Last column: nearest neighbours and their distance in Å.
Atoms (fractional coordinates):
Pd 0.0000 0.5000 0.0000  2 Al 2.58, 4 Pd 2.71
Zr 0.3760 0.3760 0.3760  9 Pd 3.02-3.11, 4 Zr 3.06-3.30, 3 Al 3.17
Pd 0.0000 0.0000 0.5000  2 Al 2.58, 4 Pd 2.71
Pd 0.5000 0.0000 0.0000  2 Al 2.58, 4 Pd 2.71
Zr 0.6240 0.6240 0.6240  9 Pd 3.02-3.11, 4 Zr 3.06-3.30, 3 Al 3.17
Al 0.0000 0.0000 0.0000  6 Pd 2.58

Summary:
SG: R-3m
Total magnetization: 1.2 Bohr magnetons per cell

*b*
This record from the Alexandria database describes Zr2AlPd3 after structural relaxation. The functional is GGA-PBE.

a b c (Å): 4.3489 5.1951 6.0916
angles (deg): 115.24 110.91 90.00
Last column: nearest neighbours and their distance in Å.
Atoms (fractional coordinates):
Zr 0.6915 0.1915 0.3829  6 Pd 2.66-2.91
Pd 0.0000 0.0000 0.0000  2 Al 2.60
Pd 0.6335 0.6335 0.2671  2 Al 2.56, 4 Zr 2.66-2.81, 1 Pd 2.70
Zr 0.3085 0.8085 0.6171  6 Pd 2.66-2.91
Pd 0.3665 0.3665 0.7329  2 Al 2.56, 4 Zr 2.66-2.81, 1 Pd 2.70
Al 0.0000 0.5000 0.0000  6 Pd 2.56-2.60

Summary:
SG: Immm
Total magnetization: 0.0 Bohr magnetons per cell

*a* takes first place; second place is 214 meV/atom up.

*a*
This record from the Alexandria database describes Zr2Al3Pd4 after structural relaxation. The functional is GGA-PBE.

a b c (Å): 5.4521 7.5395 7.8743
angles (deg): 90.00 110.25 90.00
Last column: nearest neighbours and their distance in Å.
Atoms (fractional coordinates):
Pd 0.8115 0.2500 0.1230  3 Al 2.50-2.55, 2 Pd 2.73
Pd 0.6810 0.5189 0.3620  5 Al 2.54-2.68
Zr 0.6024 0.9061 0.2049  8 Pd 2.99-3.31, 4 Al 3.01-3.20, 1 Zr 3.34
Pd 0.6885 0.7500 0.8770  3 Al 2.50-2.55, 2 Pd 2.73
Zr 0.3976 0.0939 0.7951  8 Pd 2.99-3.31, 4 Al 3.01-3.20, 1 Zr 3.34
Pd 0.1810 0.9811 0.3620  5 Al 2.54-2.68
Pd 0.8190 0.0189 0.6380  5 Al 2.54-2.68
Pd 0.3115 0.2500 0.1230  3 Al 2.50-2.55, 2 Pd 2.73
Zr 0.1024 0.5939 0.2049  8 Pd 2.99-3.31, 4 Al 3.01-3.20, 1 Zr 3.34
Al 0.5157 0.7500 0.5315  5 Pd 2.54-2.57, 2 Al 2.73
Al 0.4843 0.2500 0.4685  5 Pd 2.54-2.57, 2 Al 2.73
Al 0.9843 0.2500 0.4685  5 Pd 2.54-2.57, 2 Al 2.73
Pd 0.3190 0.4811 0.6380  5 Al 2.54-2.68
Zr 0.8976 0.4061 0.7951  8 Pd 2.99-3.31, 4 Al 3.01-3.20, 1 Zr 3.34
Al 0.0000 0.0000 0.0000  6 Pd 2.50-2.68
Al 0.0157 0.7500 0.5315  5 Pd 2.54-2.57, 2 Al 2.73
Al 0.5000 0.5000 0.0000  6 Pd 2.50-2.68
Pd 0.1885 0.7500 0.8770  3 Al 2.50-2.55, 2 Pd 2.73

Summary:
SG: Cmce
Total magnetization: 0.0 Bohr magnetons per cell

*b*
This record from the Alexandria database describes Zr2Al3Pd4 after structural relaxation. The functional is GGA-PBE.

a b c (Å): 4.6059 4.6058 8.4525
angles (deg): 82.07 82.05 60.26
Last column: nearest neighbours and their distance in Å.
Atoms (fractional coordinates):
Al 0.2731 0.2732 0.4079  5 Pd 2.53-2.72, 2 Al 2.78
Pd 0.0502 0.0502 0.6572  4 Al 2.53-2.72, 2 Zr 2.80
Pd 0.6949 0.6951 0.9062  4 Al 2.63-2.83, 3 Zr 2.72-2.86
Pd 0.9498 0.9498 0.3428  4 Al 2.53-2.72, 2 Zr 2.80
Al 0.0000 0.0000 0.0000  8 Pd 2.67-2.86
Pd 0.3051 0.3049 0.0938  4 Al 2.63-2.83, 3 Zr 2.72-2.86
Zr 0.6293 0.6292 0.2325  7 Pd 2.72-3.00, 1 Al 2.98
Al 0.7269 0.7268 0.5921  5 Pd 2.53-2.72, 2 Al 2.78
Zr 0.3707 0.3708 0.7675  7 Pd 2.72-3.00, 1 Al 2.98

Summary:
SG: C2/m
Total magnetization: 0.0 Bohr magnetons per cell

*a* takes first place; second place is 46 meV/atom up.

*a*
This record from the Alexandria database describes PmAl3 after structural relaxation. The functional is GGA-PBE.

a b c (Å): 4.3039 4.3039 5.4991
angles (deg): 113.04 113.04 90.00
Last column: nearest neighbours and their distance in Å.
Atoms (fractional coordinates):
Al 0.7500 0.2500 0.5000  8 Al 3.04-3.14, 4 Pm 3.14
Al 0.5000 0.5000 0.0000  4 Pm 3.04, 8 Al 3.14
Pm 0.0000 0.0000 0.0000  12 Al 3.04-3.14
Al 0.2500 0.7500 0.5000  8 Al 3.04-3.14, 4 Pm 3.14

Summary:
SG: I4/mmm
Total magnetization: 0.0 Bohr magnetons per cell

*b*
This record from the Alexandria database describes PmAl3 after structural relaxation. The functional is GGA-PBE.

a b c (Å): 4.3364 4.3365 4.3371
angles (deg): 90.00 90.00 90.00
Last column: nearest neighbours and their distance in Å.
Atoms (fractional coordinates):
Al 0.0000 0.0000 0.9166  8 Al 3.07, 4 Pm 3.07
Al 0.5000 0.0000 0.4168  8 Al 3.07, 4 Pm 3.07
Pm 0.0000 0.5000 0.4166  12 Al 3.07
Al 0.5000 0.5000 0.9166  8 Al 3.07, 4 Pm 3.07

Summary:
SG: Pm-3m
Total magnetization: 0.0 Bohr magnetons per cell

*c*
This record from the Alexandria database describes PmAl3 after structural relaxation. The functional is GGA-PBE.

a b c (Å): 6.3637 6.3637 7.9598
angles (deg): 66.44 66.44 60.00
Last column: nearest neighbours and their distance in Å.
Atoms (fractional coordinates):
Al 0.3012 0.3012 0.6710  6 Al 2.71-2.89
Al 0.2733 0.6988 0.3290  6 Al 2.71-2.89
Pm 0.0000 0.0000 0.0000  12 Al 3.14-3.18
Al 0.5000 0.5000 0.0000  8 Al 2.89-3.18, 4 Pm 3.09-3.18
Al 0.0000 0.5000 0.0000  8 Al 2.89-3.18, 4 Pm 3.09-3.18
Al 0.7267 0.3012 0.6710  6 Al 2.71-2.89
Al 0.6988 0.2733 0.3290  6 Al 2.71-2.89
Al 0.6988 0.6988 0.3290  6 Al 2.71-2.89
Pm 0.7837 0.7837 0.6488  12 Al 3.09-3.20
Al 0.5000 0.0000 0.0000  8 Al 2.89-3.18, 4 Pm 3.09-3.18
Pm 0.2163 0.2163 0.3512  12 Al 3.09-3.20
Al 0.3012 0.7267 0.6710  6 Al 2.71-2.89

Summary:
SG: R-3m
Total magnetization: 0.0 Bohr magnetons per cell

*d*
This record from the Alexandria database describes PmAl3 after structural relaxation. The functional is GGA-PBE.

a b c (Å): 4.3719 5.7778 4.4287
angles (deg): 111.99 119.58 90.00
Last column: nearest neighbours and their distance in Å.
Atoms (fractional coordinates):
Al 0.5000 0.5000 0.0000  6 Al 2.64-2.65
Al 0.7851 0.3609 0.5702  5 Al 2.64-2.90
Al 0.2149 0.6391 0.4298  5 Al 2.64-2.90
Pm 0.0000 0.0000 0.0000  8 Al 3.16-3.33

Summary:
SG: C2/m
Total magnetization: 0.0 Bohr magnetons per cell

*c* takes first place; second place is 38 meV/atom up.

*a*
This record from the Alexandria database describes Pm3Al4 after structural relaxation. The functional is GGA-PBE.

a b c (Å): 4.4634 6.0772 13.8769
angles (deg): 90.00 90.00 111.54
Last column: nearest neighbours and their distance in Å.
Atoms (fractional coordinates):
Al 0.0009 0.0018 0.0003  4 Al 2.70
Al 0.0013 0.0026 0.5003  4 Al 2.70
Pm 0.7236 0.4471 0.1032  7 Al 3.15-3.45
Al 0.4359 0.8717 0.0955  3 Al 2.63-2.70
Pm 0.2786 0.5573 0.8975  7 Al 3.15-3.45
Pm 0.0168 0.0336 0.2503  9 Al 3.21-3.47
Al 0.3011 0.6022 0.2503  2 Al 2.63
Al 0.7012 0.4024 0.7504  2 Al 2.63
Al 0.5665 0.1331 0.5955  3 Al 2.63-2.70
Pm 0.9855 0.9710 0.7503  9 Al 3.21-3.47
Al 0.5664 0.1328 0.9052  3 Al 2.63-2.70
Pm 0.2788 0.5576 0.6033  7 Al 3.15-3.45
Pm 0.7237 0.4473 0.3975  7 Al 3.15-3.45
Al 0.4359 0.8718 0.4052  3 Al 2.63-2.70

Summary:
SG: Cmcm
Total magnetization: 0.0 Bohr magnetons per cell

*b*
This record from the Alexandria database describes Pm3Al4 after structural relaxation. The functional is GGA-PBE.

a b c (Å): 4.5675 3.7326 10.5110
angles (deg): 100.23 102.55 90.00
Last column: nearest neighbours and their distance in Å.
Atoms (fractional coordinates):
Al 0.9345 0.4345 0.8689  3 Al 2.64-2.70
Pm 0.1931 0.1931 0.3862  7 Al 3.16-3.43
Pm 0.8069 0.8069 0.6138  7 Al 3.16-3.43
Al 0.6369 0.6369 0.2738  2 Al 2.70
Al 0.0655 0.5655 0.1311  3 Al 2.64-2.70
Al 0.3631 0.3631 0.7262  2 Al 2.70
Pm 0.5000 0.0000 0.0000  12 Al 3.23-3.33

Summary:
SG: Immm
Total magnetization: 0.5 Bohr magnetons per cell

*b* takes first place; second place is 31 meV/atom up.

*a*
This record from the Alexandria database describes Pm3Al2 after structural relaxation. The functional is GGA-PBE.

a b c (Å): 3.5076 3.5076 11.4059
angles (deg): 98.85 98.85 90.00
Last column: nearest neighbours and their distance in Å.
Atoms (fractional coordinates):
Al 0.5934 0.5934 0.1867  8 Pm 3.20-3.24, 4 Al 3.51
Pm 0.0000 0.0000 0.0000  8 Al 3.24, 4 Pm 3.51
Al 0.4066 0.4066 0.8133  8 Pm 3.20-3.24, 4 Al 3.51
Pm 0.1839 0.1839 0.3679  4 Al 3.20, 4 Pm 3.51
Pm 0.8161 0.8161 0.6321  4 Al 3.20, 4 Pm 3.51

Summary:
SG: I4/mmm
Total magnetization: 0.0 Bohr magnetons per cell

*b*
This record from the Alexandria database describes Pm3Al2 after structural relaxation. The functional is GGA-PBE.

a b c (Å): 4.9674 5.8505 5.8505
angles (deg): 72.36 64.88 64.88
Last column: nearest neighbours and their distance in Å.
Atoms (fractional coordinates):
Pm 0.8022 0.6978 0.6978  3 Pm 3.18-3.47, 6 Al 3.22-3.24
Pm 0.0000 0.0000 0.0000  4 Al 3.26, 4 Pm 3.47
Pm 0.1978 0.3022 0.3022  3 Pm 3.18-3.47, 6 Al 3.22-3.24
Al 0.5000 0.3064 0.6936  1 Al 2.67
Al 0.5000 0.6936 0.3064  1 Al 2.67

Summary:
SG: Immm
Total magnetization: 0.0 Bohr magnetons per cell

*b* takes first place; second place is 39 meV/atom up.

*a*
This record from the Alexandria database describes Pm5Al3 after structural relaxation. The functional is GGA-PBE.

a b c (Å): 3.5059 3.5059 18.1463
angles (deg): 90.00 90.00 90.00
Last column: nearest neighbours and their distance in Å.
Atoms (fractional coordinates):
Pm 0.0000 0.0000 0.7738  4 Al 3.20, 4 Pm 3.51
Pm 0.0000 0.0000 0.0000  8 Al 3.24, 4 Pm 3.51
Pm 0.0000 0.0000 0.2262  4 Al 3.20, 4 Pm 3.51
Pm 0.5000 0.5000 0.6126  4 Al 3.21, 4 Pm 3.51
Al 0.0000 0.0000 0.5000  8 Pm 3.21, 4 Al 3.51
Pm 0.5000 0.5000 0.3874  4 Al 3.21, 4 Pm 3.51
Al 0.5000 0.5000 0.8854  8 Pm 3.20-3.24, 4 Al 3.51
Al 0.5000 0.5000 0.1146  8 Pm 3.20-3.24, 4 Al 3.51

Summary:
SG: P4/mmm
Total magnetization: 0.0 Bohr magnetons per cell

*b*
This record from the Alexandria database describes Pm5Al3 after structural relaxation. The functional is GGA-PBE.

a b c (Å): 3.3817 8.6313 8.6313
angles (deg): 120.00 90.00 90.00
Last column: nearest neighbours and their distance in Å.
Atoms (fractional coordinates):
Pm 0.0000 0.3333 0.6667  6 Al 3.19, 5 Pm 3.32-3.38
Pm 0.0000 0.7547 0.7547  6 Pm 3.32-3.67, 6 Al 3.34-3.66
Al 0.5000 0.0000 0.6208  8 Pm 3.19-3.34, 2 Al 3.38
Al 0.5000 0.3792 0.3792  8 Pm 3.19-3.34, 2 Al 3.38
Pm 0.0000 0.2453 0.0000  6 Pm 3.32-3.67, 6 Al 3.34-3.66
Al 0.5000 0.6208 0.0000  8 Pm 3.19-3.34, 2 Al 3.38
Pm 0.0000 0.0000 0.2453  6 Pm 3.32-3.67, 6 Al 3.34-3.66
Pm 0.0000 0.6667 0.3333  6 Al 3.19, 5 Pm 3.32-3.38

Summary:
SG: P-62m
Total magnetization: 0.0 Bohr magnetons per cell

*a* takes first place; second place is 37 meV/atom up.

*a*
This record from the Alexandria database describes Pm3PrAl8 after structural relaxation. The functional is GGA-PBE.

a b c (Å): 5.6618 5.6618 9.3324
angles (deg): 90.00 90.00 120.00
Last column: nearest neighbours and their distance in Å.
Atoms (fractional coordinates):
Al 0.3333 0.6667 0.0006  6 Al 2.86-2.87
Al 0.5045 0.4955 0.7515  6 Al 2.75-2.91
Al 0.6754 0.8377 0.2488  6 Al 2.76-2.91
Pm 0.6667 0.3333 0.0678  12 Al 3.30-3.35, 4 Pm 3.39-3.51
Al 0.3333 0.6667 0.4994  6 Al 2.88-2.89
Pm 0.0000 0.0000 0.9319  12 Al 3.29-3.36, 1 Pr 3.40, 3 Pm 3.51
Pm 0.6667 0.3333 0.4314  12 Al 3.30-3.38, 1 Pm 3.39, 3 Pr 3.51
Al 0.1623 0.8377 0.2488  6 Al 2.76-2.91
Al 0.1623 0.3246 0.2488  6 Al 2.76-2.91
Al 0.9910 0.4955 0.7515  6 Al 2.75-2.91
Al 0.5045 0.0090 0.7515  6 Al 2.75-2.91
Pr 0.0000 0.0000 0.5681  12 Al 3.31-3.38, 4 Pm 3.40-3.51

Summary:
SG: P3m1
Total magnetization: 0.0 Bohr magnetons per cell

*b*
This record from the Alexandria database describes Pm3PrAl8 after structural relaxation. The functional is GGA-PBE.

a b c (Å): 5.6691 5.6691 9.8384
angles (deg): 73.26 73.26 60.00
Last column: nearest neighbours and their distance in Å.
Atoms (fractional coordinates):
Al 0.9373 0.9373 0.6888  6 Al 2.83-2.84
Al 0.1874 0.1874 0.4379  6 Al 2.84-2.85
Pm 0.0000 0.0000 0.0000  12 Al 3.32, 3 Pm 3.47, 1 Pr 3.48
Al 0.6876 0.6876 0.9372  6 Al 2.83
Al 0.9373 0.4367 0.6888  6 Al 2.83-2.84
Al 0.4378 0.9382 0.1861  6 Al 2.83-2.85
Al 0.4378 0.4378 0.1861  6 Al 2.83-2.85
Al 0.4367 0.9373 0.6888  6 Al 2.83-2.84
Al 0.9382 0.4378 0.1861  6 Al 2.83-2.85
Pm 0.4999 0.4999 0.5003  12 Al 3.32-3.34, 1 Pm 3.47, 3 Pr 3.47
Pr 0.8749 0.8749 0.3753  12 Al 3.32-3.34, 4 Pm 3.47-3.48
Pm 0.3752 0.3752 0.8745  12 Al 3.32, 4 Pm 3.47

Summary:
SG: R3m
Total magnetization: 0.0 Bohr magnetons per cell

*b* takes first place; second place is 11 meV/atom up.